This record from Alexandria describes crystalline CuPtAu2 at its relaxed geometry. The functional is PBE-GGA.

Properties
Energy above the lowest structure with this stoichiometry   0.052 eV per atom
Uncorrected energy   -4.169 eV/atom
Space group   C2/m
E_form   0.004 eV/atom

a = 4.8564 Å, b = 4.8564 Å, c = 4.9257 Å
α = 100.71°, β = 100.71°, γ = 34.47°
Last column: nearest neighbours and their distance in Å.
Positions (direct):
Cu (0.0000, 0.0000, 0.0000)  6 Au 2.77-2.85, 4 Pt 2.85, 2 Cu 2.88
Pt (0.5000, 0.5000, 0.5000)  6 Au 2.81-2.84, 4 Cu 2.85, 2 Pt 2.88
Au (0.2539, 0.2539, 0.7555)  3 Cu 2.77-2.85, 3 Pt 2.81-2.84, 6 Au 2.82-2.89
Au (0.7461, 0.7461, 0.2445)  3 Cu 2.77-2.85, 3 Pt 2.81-2.84, 6 Au 2.82-2.89